[1]
A crystal of SrTc2Ir relaxed with PBEsol. Source: the Alexandria database, functional SCAN.

- Offset from the most stable computed form: 505 meV per atom
- Space group: Fm-3m

```
data_SrTc2Ir
_cell_length_a 6.415
_cell_length_b 6.415
_cell_length_c 6.415
_cell_angle_alpha 90.00
_cell_angle_beta 90.00
_cell_angle_gamma 90.00
_space_group_name_H-M_alt 'P 1'
_space_group_IT_number 1
_space_group_name_Hall 'P 1'
loop_
_atom_site_label
_atom_site_fract_x
_atom_site_fract_y
_atom_site_fract_z
Sr1 0.000 0.000 0.000
Sr2 0.000 0.500 0.500
Sr3 0.500 0.000 0.500
Sr4 0.500 0.500 0.000
Tc1 0.250 0.250 0.250
Tc2 0.250 0.250 0.750
Tc3 0.250 0.750 0.250
Tc4 0.250 0.750 0.750
Tc5 0.750 0.250 0.250
Tc6 0.750 0.250 0.750
Tc7 0.750 0.750 0.250
Tc8 0.750 0.750 0.750
Ir1 0.000 0.000 0.500
Ir2 0.000 0.500 0.000
Ir3 0.500 0.000 0.000
Ir4 0.500 0.500 0.500
```

***

[2]
A crystal of TaIrBr2 relaxed with PBEsol. Source: the Alexandria database, functional SCAN.

- Offset from the most stable computed form: 1691 meV per atom
- Space group: Fm-3m
- Energy relative to the elements, uncorrected: 1.14 eV per atom

```
data_TaIrBr2
_cell_length_a 6.453
_cell_length_b 6.453
_cell_length_c 6.453
_cell_angle_alpha 90.00
_cell_angle_beta 90.00
_cell_angle_gamma 90.00
_space_group_name_H-M_alt 'P 1'
_space_group_IT_number 1
_space_group_name_Hall 'P 1'
loop_
_atom_site_label
_atom_site_fract_x
_atom_site_fract_y
_atom_site_fract_z
Ta1 0.000 0.000 0.000
Ta2 0.000 0.500 0.500
Ta3 0.500 0.000 0.500
Ta4 0.500 0.500 0.000
Ir1 0.000 0.000 0.500
Ir2 0.000 0.500 0.000
Ir3 0.500 0.000 0.000
Ir4 0.500 0.500 0.500
Br1 0.250 0.250 0.250
Br2 0.250 0.250 0.750
Br3 0.250 0.750 0.250
Br4 0.250 0.750 0.750
Br5 0.750 0.250 0.250
Br6 0.750 0.250 0.750
Br7 0.750 0.750 0.250
Br8 0.750 0.750 0.750
```

***

[3]
A crystal of ZnCu2Ni relaxed with PBEsol. Source: the Alexandria database, functional SCAN.

- Raw total energy: -120.6 eV/cell
- Space group: Cm

```
data_ZnCu2Ni
_cell_length_a 8.334
_cell_length_b 2.570
_cell_length_c 4.347
_cell_angle_alpha 90.00
_cell_angle_beta 101.11
_cell_angle_gamma 90.00
_space_group_name_H-M_alt 'P 1'
_space_group_IT_number 1
_space_group_name_Hall 'P 1'
loop_
_atom_site_label
_atom_site_fract_x
_atom_site_fract_y
_atom_site_fract_z
Zn1 0.000 0.000 0.000
Zn2 0.500 0.500 0.000
Cu1 0.004 0.500 0.506
Cu2 0.253 0.500 0.265
Cu3 0.504 0.000 0.506
Cu4 0.753 0.000 0.265
Ni1 0.252 0.000 0.761
Ni2 0.752 0.500 0.761
```

***

[4]
A crystal of K2AgSb relaxed with PBEsol. Source: the Alexandria database, functional SCAN.

- Space group: Cmcm
- Energy relative to the elements, uncorrected: -0.48 eV per atom

```
data_K2AgSb
_cell_length_a 10.396
_cell_length_b 8.199
_cell_length_c 6.172
_cell_angle_alpha 90.00
_cell_angle_beta 90.00
_cell_angle_gamma 90.00
_space_group_name_H-M_alt 'P 1'
_space_group_IT_number 1
_space_group_name_Hall 'P 1'
loop_
_atom_site_label
_atom_site_fract_x
_atom_site_fract_y
_atom_site_fract_z
K1 0.172 0.149 0.250
K2 0.172 0.851 0.750
K3 0.328 0.351 0.750
K4 0.328 0.649 0.250
K5 0.672 0.351 0.750
K6 0.672 0.649 0.250
K7 0.828 0.149 0.250
K8 0.828 0.851 0.750
Ag1 0.000 0.500 0.000
Ag2 0.000 0.500 0.500
Ag3 0.500 0.000 0.000
Ag4 0.500 0.000 0.500
Sb1 0.000 0.234 0.750
Sb2 0.000 0.766 0.250
Sb3 0.500 0.266 0.250
Sb4 0.500 0.734 0.750
```

***

> Which formula does entry 3 have?

ZnCu2Ni

***

What did the first record say?
A crystal of SrTc2Ir relaxed with PBEsol. Source: the Alexandria database, functional SCAN.

- Offset from the most stable computed form: 505 meV per atom
- Space group: Fm-3m

```
data_SrTc2Ir
_cell_length_a 6.415
_cell_length_b 6.415
_cell_length_c 6.415
_cell_angle_alpha 90.00
_cell_angle_beta 90.00
_cell_angle_gamma 90.00
_space_group_name_H-M_alt 'P 1'
_space_group_IT_number 1
_space_group_name_Hall 'P 1'
loop_
_atom_site_label
_atom_site_fract_x
_atom_site_fract_y
_atom_site_fract_z
Sr1 0.000 0.000 0.000
Sr2 0.000 0.500 0.500
Sr3 0.500 0.000 0.500
Sr4 0.500 0.500 0.000
Tc1 0.250 0.250 0.250
Tc2 0.250 0.250 0.750
Tc3 0.250 0.750 0.250
Tc4 0.250 0.750 0.750
Tc5 0.750 0.250 0.250
Tc6 0.750 0.250 0.750
Tc7 0.750 0.750 0.250
Tc8 0.750 0.750 0.750
Ir1 0.000 0.000 0.500
Ir2 0.000 0.500 0.000
Ir3 0.500 0.000 0.000
Ir4 0.500 0.500 0.500
```